No. 1
HoPuCo2: relaxed, PBE.

Output
ΔE_f, kJ/mol of formula units: -40
D(E_F), states/eV per atom: 2.42
Total moment, μB/cell: 8.6
VASP energy, eV per cell: -67.06

Cell: 3.7824 3.7954 10.6388 Å, 90.00 90.00 90.00°
Space group Amm2 (No. 38)
Asymmetric unit:
Ho (0.0000, 0.0000, 0.0000) (multiplicity 2)
Pu (0.5000, 0.0000, 0.7173) (multiplicity 2)
Co (0.0000, 0.0000, 0.2790) (multiplicity 2)
Co (0.5000, 0.0000, 0.4176) (multiplicity 2)

=====

No. 2
Ho2PuCo: relaxed, PBE.

Output
ΔE_f, kJ/mol of formula units: 96
D(E_F), states/eV per atom: 2.73
Total moment, μB/cell: 19.5
Energy above the lowest structure with this stoichiometry, eV per formula unit: 1.035
VASP energy, eV per cell: -88.79

Cell: 3.5298 3.5298 30.2598 Å, 90.00 90.00 120.00°
Space group R-3m (No. 166, hexagonal axes)
Asymmetric unit:
Ho (0.0000, 0.0000, 0.1122) (multiplicity 6)
Pu (0.0000, 0.0000, 0.0000) (multiplicity 3)
Co (0.0000, 0.0000, 0.5000) (multiplicity 3)

=====

No. 3
HoPuCo: relaxed, PBE.

Output
ΔE_f, kJ/mol of formula units: 58
D(E_F), states/eV per atom: 2.41
Total moment, μB/cell: 5.5
Energy above the lowest structure with this stoichiometry, eV per formula unit: 0.932
VASP energy, eV per cell: -25.41

Cell: 4.2012 4.2012 4.4468 Å, 90.00 90.00 120.00°
Space group P-6m2 (No. 187)
Asymmetric unit:
Ho (0.0000, 0.0000, 0.0000) (multiplicity 1)
Pu (0.3333, 0.6667, 0.5000) (multiplicity 1)
Co (0.6667, 0.3333, 0.5000) (multiplicity 1)

=====

No. 4
HoPu2Co: relaxed, PBE.

Output
ΔE_f, kJ/mol of formula units: 46
D(E_F), states/eV per atom: 3.20
Total moment, μB/cell: 10.6
VASP energy, eV per cell: -39.87

Cell: 3.3833 3.3833 8.1930 Å, 90.00 90.00 90.00°
Space group P4/mmm (No. 123)
Asymmetric unit:
Ho (0.0000, 0.0000, 0.0000) (multiplicity 1)
Pu (0.5000, 0.5000, 0.3105) (multiplicity 2)
Co (0.0000, 0.0000, 0.5000) (multiplicity 1)

=====

No. 5
HoPuCo: relaxed, PBE.

Output
ΔE_f, kJ/mol of formula units: -32
D(E_F), states/eV per atom: 2.43
Total moment, μB/cell: 21.4
Energy above the lowest structure with this stoichiometry, eV per formula unit: 0.000
VASP energy, eV per cell: -105.37

Cell: 6.8588 5.7350 6.9995 Å, 90.00 107.03 90.00°
Space group P2_1/c (No. 14)
Asymmetric unit:
Ho (0.1387, 0.1395, 0.3606) (multiplicity 4)
Pu (0.4123, 0.6663, 0.3064) (multiplicity 4)
Co (0.1590, 0.6186, 0.5097) (multiplicity 4)

=====

No. 6
Ho2PuCo: relaxed, PBE.

Output
ΔE_f, kJ/mol of formula units: -4
D(E_F), states/eV per atom: 2.06
Total moment, μB/cell: 6.2
Energy above the lowest structure with this stoichiometry, eV per formula unit: 0.000
VASP energy, eV per cell: -30.63

Cell: 3.3469 3.3469 8.6386 Å, 90.00 90.00 90.00°
Space group P4/mmm (No. 123)
Asymmetric unit:
Ho (0.0000, 0.0000, 0.1864) (multiplicity 2)
Pu (0.5000, 0.5000, 0.5000) (multiplicity 1)
Co (0.5000, 0.5000, 0.0000) (multiplicity 1)

=====

No. 7
Ho3PuCo8: relaxed, PBE.

Output
ΔE_f, kJ/mol of formula units: -51
D(E_F), states/eV per atom: 1.91
Total moment, μB/cell: 7.8
VASP energy, eV per cell: -256.32

Cell: 4.9735 4.9735 24.3893 Å, 90.00 90.00 120.00°
Space group R3m (No. 160, hexagonal axes)
Asymmetric unit:
Ho (0.0000, 0.0000, 0.0000) (multiplicity 3)
Ho (0.0000, 0.0000, 0.1264) (multiplicity 3)
Ho (0.0000, 0.0000, 0.6246) (multiplicity 3)
Pu (0.0000, 0.0000, 0.5018) (multiplicity 3)
Co (0.0000, 0.0000, 0.3133) (multiplicity 3)
Co (0.0000, 0.0000, 0.8138) (multiplicity 3)
Co (0.0042, 0.5021, 0.0651) (multiplicity 9)
Co (0.1680, 0.3361, 0.8946) (multiplicity 9)

=====

No. 8
HoPuCo: relaxed, PBE.

Output
ΔE_f, kJ/mol of formula units: 8
D(E_F), states/eV per atom: 3.15
Total moment, μB/cell: 10.3
Energy above the lowest structure with this stoichiometry, eV per formula unit: 0.406
VASP energy, eV per cell: -51.87

Cell: 3.3259 3.3259 12.0873 Å, 90.00 90.00 90.00°
Space group I4mm (No. 107)
Asymmetric unit:
Ho (0.0000, 0.0000, 0.0000) (multiplicity 2)
Pu (0.0000, 0.0000, 0.2677) (multiplicity 2)
Co (0.0000, 0.0000, 0.6362) (multiplicity 2)

=====

No. 9
HoPuCo: relaxed, PBE.

Output
ΔE_f, kJ/mol of formula units: 32
D(E_F), states/eV per atom: 3.13
Total moment, μB/cell: 22.9
Energy above the lowest structure with this stoichiometry, eV per formula unit: 0.655
VASP energy, eV per cell: -102.75

Cell: 6.5640 6.5640 6.5640 Å, 90.00 90.00 90.00°
Space group F-43m (No. 216)
Asymmetric unit:
Ho (0.0000, 0.0000, 0.0000) (multiplicity 4)
Pu (0.0000, 0.0000, 0.5000) (multiplicity 4)
Co (0.2500, 0.2500, 0.7500) (multiplicity 4)

=====

No. 10
Ho3PuCo: relaxed, PBE.

Output
ΔE_f, kJ/mol of formula units: 40
D(E_F), states/eV per atom: 2.68
Total moment, μB/cell: 7.0
VASP energy, eV per cell: -34.75

Cell: 5.2317 5.2317 5.2317 Å, 90.00 90.00 90.00°
Space group Pm-3m (No. 221)
Asymmetric unit:
Ho (0.0000, 0.0000, 0.5000) (multiplicity 3)
Pu (0.5000, 0.5000, 0.5000) (multiplicity 1)
Co (0.0000, 0.0000, 0.0000) (multiplicity 1)

=====

No. 11
HoPuCoRh: relaxed, PBE.

Output
ΔE_f, kJ/mol of formula units: -126
D(E_F), states/eV per atom: 1.91
Total moment, μB/cell: 17.6
VASP energy, eV per cell: -138.68

Cell: 6.7513 6.7513 6.7513 Å, 90.00 90.00 90.00°
Space group F-43m (No. 216)
Asymmetric unit:
Ho (0.0000, 0.0000, 0.0000) (multiplicity 4)
Pu (0.0000, 0.0000, 0.5000) (multiplicity 4)
Co (0.2500, 0.2500, 0.2500) (multiplicity 4)
Rh (0.2500, 0.2500, 0.7500) (multiplicity 4)

=====

No. 12
HoPuCoTc: relaxed, PBE.

Output
ΔE_f, kJ/mol of formula units: -1
D(E_F), states/eV per atom: 1.46
Total moment, μB/cell: 13.6
VASP energy, eV per cell: -145.56

Cell: 6.7053 6.7053 6.7053 Å, 90.00 90.00 90.00°
Space group F-43m (No. 216)
Asymmetric unit:
Ho (0.0000, 0.0000, 0.0000) (multiplicity 4)
Pu (0.0000, 0.0000, 0.5000) (multiplicity 4)
Co (0.2500, 0.2500, 0.7500) (multiplicity 4)
Tc (0.2500, 0.2500, 0.2500) (multiplicity 4)

=====

> Which of these has the lowest ΔE_f?

HoPuCoRh